DFT (PBE with a Hubbard U) results for a relaxed CrHgN2F crystal.

**Energy above the lowest structure with this stoichiometry**: 0.0 meV/atom
**SG**: No. 123
**Magnetic moment**: 0.817 μB/cell

Geometry as POSCAR:
```
CrHgN2F
1.0
3.980 0.000 0.000
0.000 3.980 0.000
0.000 0.000 3.941
Cr Hg N F
1 1 2 1
direct
0.000 0.000 0.000
0.500 0.500 0.500
0.000 0.500 0.000
0.500 0.000 0.000
0.000 0.000 0.500
```